## A
NbSnS2N | PBE | optimized geometry

Unit cell a=5.0145 b=5.0145 c=3.9148 alpha=90.00 beta=90.00 gamma=90.00
Each line ends with the local moment (μB).
Positions (direct):
1 Sn 0.0000 0.0000 0.0000  0.03
2 N 0.0000 0.0000 0.5000  -0.40
3 S 0.0000 0.5000 0.0000  -0.12
4 S 0.5000 0.0000 0.0000  -0.12
5 Nb 0.5000 0.5000 0.5000  2.27

Computed properties:
- total magnetic moment (μB/cell) = 1.92
- calculated density (Mg/m³) = 4.89

***

## B
NbSnS2N | PBE | optimized geometry

Unit cell a=5.0012 b=5.0012 c=3.9376 alpha=90.00 beta=90.00 gamma=90.00
Positions (direct):
1 N 0.0000 0.0000 0.5000
2 S 0.5000 0.0000 0.0000
3 Sn 0.5000 0.5000 0.5000
4 Nb 0.0000 0.0000 0.0000
5 S 0.0000 0.5000 0.0000

Computed properties:
- total magnetic moment (μB/cell) = 0.00
- calculated density (Mg/m³) = 4.89

***

The structure with the most favorable energy is B; the runner-up is 1161 meV/atom above it.

***

## A
TaNb2SN | PBE | optimized geometry

Unit cell a=4.5436 b=4.5000 c=4.5436 alpha=90.00 beta=90.00 gamma=90.00
Positions (direct):
1 Ta 0.0000 0.5000 0.0000
2 Nb 0.0000 0.0000 0.5000
3 N 0.5000 0.5000 0.5000
4 Nb 0.5000 0.0000 0.0000
5 S 0.0000 0.0000 0.0000

Computed properties:
- total magnetic moment (μB/cell) = 0.01
- calculated density (Mg/m³) = 7.38

***

## B
TaNb2SN | PBE | optimized geometry

Unit cell a=4.9762 b=4.4699 c=4.9762 alpha=90.00 beta=90.00 gamma=90.00
Positions (direct):
1 S 0.0000 0.5000 0.0000
2 N 0.5000 0.5000 0.5000
3 Ta 0.0000 0.0000 0.0000
4 Nb 0.5000 0.0000 0.0000
5 Nb 0.0000 0.0000 0.5000

Computed properties:
- total magnetic moment (μB/cell) = 0.00
- calculated density (Mg/m³) = 6.19

***

The structure with the most favorable energy is A; the runner-up is 759 meV/atom above it.

***

## A
NbTcS2N | PBE | optimized geometry

Unit cell a=4.9366 b=4.9366 c=3.8975 alpha=90.00 beta=90.00 gamma=90.00
Each line ends with the local moment (μB).
Positions (direct):
1 S 0.0000 0.5000 0.0000  0.09
2 Nb 0.0000 0.0000 0.0000  0.04
3 N 0.0000 0.0000 0.5000  0.18
4 Tc 0.5000 0.5000 0.5000  3.88
5 S 0.5000 0.0000 0.0000  0.09

Computed properties:
- total magnetic moment (μB/cell) = 4.91
- calculated density (Mg/m³) = 4.70

***

## B
NbTcS2N | PBE | optimized geometry

Unit cell a=4.7814 b=4.7814 c=3.6723 alpha=90.00 beta=90.00 gamma=90.00
Each line ends with the local moment (μB).
Positions (direct):
1 S 0.5000 0.0000 0.0000  -0.08
2 Nb 0.5000 0.5000 0.5000  1.91
3 S 0.0000 0.5000 0.0000  -0.08
4 Tc 0.0000 0.0000 0.0000  -0.04
5 N 0.0000 0.0000 0.5000  -0.01

Computed properties:
- total magnetic moment (μB/cell) = 2.01
- calculated density (Mg/m³) = 5.32

***

The structure with the most favorable energy is B; the runner-up is 76 meV/atom above it.